Compound: RbGe2Cl5
Source: Alexandria
Functional: GGA-PBE
Structure: optimized geometry

Its energy above the most stable polymorph in this dataset is 0.0 meV/atom. Its final energy is -112.71 eV for the cell shown.

The structure belongs to space group Cmcm (No. 63); the cell edges are 5.3570, 12.3768 and 14.2456 Å and the angles 90.00°, 90.00° and 90.00°. The distinct sites, in fractional coordinates, are Rb at (0.0000, 0.0234, 0.2500), Ge at (0.0000, 0.3604, 0.0688), Cl at (0.0000, 0.1493, 0.5604), Cl at (0.0000, 0.3097, 0.2500) and Cl at (0.0000, 0.4496, 0.6118).